Entry 1:
LiMgN, optimized geometry, DFT GGA-PBEsol; E_form (uncorrected) = -0.72 eV/atom
1.0
-0.344 3.456 0.084
-4.572 -0.502 1.918
2.753 0.113 6.594
Li N Mg
4 4 4
direct
0.250 0.471 0.904
0.250 0.029 0.404
0.750 0.529 0.096
0.750 0.971 0.596
0.750 0.232 0.881
0.250 0.768 0.119
0.750 0.268 0.381
0.250 0.732 0.619
0.250 0.521 0.356
0.750 0.479 0.644
0.750 0.021 0.144
0.250 0.979 0.856



Entry 2:
Li2MgZnN, optimized geometry, DFT GGA-PBEsol; E_form (uncorrected) = 1.44 eV/atom
1.0
4.837 0.000 0.000
0.000 5.104 0.000
0.000 0.000 5.104
N Li Zn Mg
1 2 1 1
direct
0.500 0.500 0.500
0.000 0.500 0.000
0.000 0.000 0.500
0.500 0.000 0.000
0.000 0.000 0.000



Entry 3:
NaLi3Mg, optimized geometry, DFT GGA-PBEsol; DFT formation energy = 0.289 eV per atom
1.0
5.322 0.000 0.000
0.000 5.322 0.000
0.000 0.000 5.322
Li Mg Na
3 1 1
direct
0.000 0.500 0.000
0.000 0.000 0.500
0.500 0.000 0.000
0.000 0.000 0.000
0.500 0.500 0.500



Entry 4:
NaLiMg30O31, optimized geometry, DFT GGA-PBEsol; ΔE to the lowest computed polymorph = 0.0 meV/atom; E_form (uncorrected) = -2.64 eV/atom
1.0
-6.581 -4.819 -2.151
5.190 -5.232 -4.157
1.041 -4.566 7.047
O Mg Na Li
31 30 1 1
direct
0.002 0.500 0.763
0.251 0.755 0.245
0.002 0.763 0.500
0.498 0.500 0.753
0.251 0.245 0.245
0.005 0.000 0.751
0.498 0.753 0.500
0.498 0.500 0.247
0.747 0.000 0.500
0.493 0.243 0.000
0.747 0.500 0.000
0.263 0.500 0.500
0.749 0.751 0.751
0.002 0.500 0.237
0.254 0.000 0.500
0.002 0.237 0.500
0.493 0.757 0.000
0.251 0.755 0.755
0.493 0.000 0.243
0.749 0.249 0.249
0.005 0.249 0.000
0.254 0.500 0.000
0.493 0.000 0.757
0.251 0.245 0.755
0.005 0.751 0.000
0.005 0.000 0.249
0.749 0.249 0.751
0.749 0.751 0.249
0.751 0.000 0.000
0.737 0.500 0.500
0.498 0.247 0.500
0.757 0.000 0.751
0.521 0.000 0.000
0.757 0.000 0.249
0.246 0.269 0.000
0.753 0.500 0.252
0.997 0.000 0.500
0.757 0.751 0.000
0.997 0.500 0.000
0.753 0.500 0.748
0.000 0.248 0.752
0.500 0.250 0.750
0.247 0.500 0.746
0.247 0.500 0.254
0.247 0.746 0.500
0.500 0.250 0.250
0.503 0.500 0.000
0.503 0.000 0.500
0.000 0.752 0.248
0.000 0.752 0.752
0.246 0.000 0.269
0.753 0.252 0.500
0.247 0.254 0.500
0.501 0.500 0.500
0.246 0.731 0.000
0.753 0.748 0.500
0.757 0.249 0.000
0.246 0.000 0.731
0.500 0.750 0.750
0.500 0.750 0.250
0.000 0.248 0.248
0.999 0.500 0.500
0.976 0.000 0.000



Entry 5:
NaLiMg14O15, optimized geometry, DFT GGA-PBEsol; E_form (uncorrected) = -2.52 eV/atom
1.0
4.232 0.000 0.000
0.000 8.446 0.000
0.000 0.000 8.513
Mg O Li Na
14 15 1 1
direct
0.500 0.501 0.748
0.500 0.253 0.500
0.500 0.999 0.246
0.500 0.501 0.252
0.000 0.244 0.749
0.500 0.748 0.500
0.500 0.999 0.754
0.000 0.002 0.500
0.500 0.754 0.000
0.000 0.752 0.728
0.000 0.477 0.000
0.000 0.244 0.251
0.000 0.752 0.272
0.500 0.238 0.000
0.500 0.751 0.241
0.500 0.251 0.247
0.500 0.997 0.500
0.500 0.989 0.000
0.000 0.515 0.228
0.000 0.515 0.772
0.000 0.993 0.752
0.500 0.751 0.759
0.000 0.762 0.500
0.000 0.237 0.500
0.500 0.503 0.500
0.500 0.512 0.000
0.000 0.993 0.248
0.000 0.247 0.000
0.500 0.251 0.753
0.000 0.023 0.000
0.000 0.497 0.500



Entry 6:
NaLiMg30O31, optimized geometry, DFT GGA-PBEsol; ΔE to the lowest computed polymorph = 2.7 meV/atom; E_form (uncorrected) = -2.64 eV/atom
1.0
-4.379 -4.968 5.233
5.694 1.399 6.094
-4.464 6.706 2.631
O Mg Li Na
31 30 1 1
direct
0.001 0.252 0.000
0.493 0.000 0.743
0.001 0.748 0.000
0.499 0.751 0.000
0.750 0.752 0.252
0.750 0.752 0.748
0.499 0.500 0.750
0.750 0.248 0.252
0.749 0.000 0.500
0.747 0.500 0.000
0.493 0.242 0.500
0.263 0.500 0.500
0.005 0.000 0.259
0.258 0.000 0.000
0.254 0.500 0.000
0.743 0.000 0.000
0.250 0.245 0.255
0.005 0.000 0.741
0.008 0.234 0.500
0.737 0.500 0.500
0.250 0.245 0.745
0.002 0.500 0.239
0.493 0.000 0.257
0.002 0.500 0.761
0.493 0.758 0.500
0.250 0.755 0.255
0.499 0.249 0.000
0.750 0.248 0.748
0.499 0.500 0.250
0.250 0.755 0.745
0.008 0.766 0.500
0.755 0.000 0.756
0.755 0.000 0.244
0.001 0.751 0.247
0.753 0.746 0.500
0.248 0.500 0.247
0.500 0.250 0.250
0.500 0.250 0.750
0.999 0.500 0.000
0.502 0.500 0.000
0.244 0.000 0.773
0.246 0.729 0.500
0.981 0.000 0.500
0.247 0.750 0.000
0.754 0.248 0.000
0.754 0.752 0.000
0.753 0.500 0.750
0.244 0.000 0.227
0.753 0.254 0.500
0.248 0.500 0.753
0.001 0.249 0.247
0.520 0.000 0.500
0.753 0.500 0.250
0.502 0.000 0.000
0.247 0.250 0.000
0.500 0.750 0.250
0.246 0.271 0.500
0.501 0.500 0.500
0.001 0.751 0.753
0.500 0.750 0.750
0.001 0.249 0.753
0.996 0.000 0.000
0.998 0.500 0.500



Entry 7:
Na2LiMgRu, optimized geometry, DFT GGA-PBEsol; DFT formation energy = 0.832 eV per atom
1.0
-3.418 -2.974 0.842
1.898 -1.029 4.072
-2.473 3.413 2.016
Ru Na Mg Li
1 2 1 1
direct
0.000 0.000 0.500
0.000 0.500 0.000
0.500 0.000 0.000
0.500 0.500 0.500
0.000 0.000 0.000



Entry 8:
LiMgNbSb2, optimized geometry, DFT GGA-PBEsol; E_form (uncorrected) = 0.25 eV/atom
1.0
-0.493 -4.833 2.080
0.525 -2.124 -4.810
5.275 -0.244 0.684
Sb Nb Mg Li
2 1 1 1
direct
0.500 0.000 0.000
0.000 0.500 0.000
0.000 0.000 0.000
0.000 0.000 0.500
0.500 0.500 0.500